This record from Alexandria describes a geometry-optimized Ta2ReSnH structure. The functional is PBE-GGA.

a = 4.043 Å, b = 4.043 Å, c = 4.527 Å
α = 90.00°, β = 90.00°, γ = 90.00°
Fractional positions:
Ta 0.000 0.500 0.000
Ta 0.500 0.000 0.000
Re 0.000 0.000 0.500
Sn 0.500 0.500 0.500
H 0.500 0.500 0.000

Summary:
Density of states at the Fermi level, states/eV/f.u.: 4.11
Electronic total energy, eV per atom: -8.47
Space-group type: No. 123
ρ, Mg/m³: 15.0